Li2Ag6Pd: optimized geometry, PBE.

Computed properties:
The energy relative to the lowest polymorph listed for this composition is 0.0 meV per atom. The calculation puts the formation energy at -0.155 eV/atom. The density of states at the Fermi level comes out at 3.52 states/eV per cell. The value obtained for the total energy is -3.058 eV/atom.

Geometry as CIF:
```
data_Li2Ag6Pd
_chemical_formula_sum 'Li4 Ag12 Pd2'
_space_group_name_H-M_alt 'C 1 2/m 1'
_space_group_IT_number 12
_space_group_name_Hall '-C 2y'
_cell_length_a 9.130
_cell_length_b 4.126
_cell_length_c 8.569
_cell_angle_alpha 90.00
_cell_angle_beta 110.22
_cell_angle_gamma 90.00
loop_
_atom_site_label
_atom_site_fract_x
_atom_site_fract_y
_atom_site_fract_z
Li1 0.158 0.000 0.212
Ag1 0.004 0.500 0.671
Ag2 0.167 0.000 0.894
Ag3 0.169 0.000 0.556
Pd1 0.000 0.500 0.000
```

***

Li7Ag2Pd3: optimized geometry, PBE.

Computed properties:
The calculation puts the formation energy at -0.252 eV/atom. The density of states at the Fermi level comes out at 7.76 states/eV per cell. The value obtained for the total energy is -3.142 eV/atom.

Geometry as CIF:
```
data_Li7Ag2Pd3
_chemical_formula_sum 'Li14 Ag4 Pd6'
_space_group_name_H-M_alt 'C m m m'
_space_group_IT_number 65
_space_group_name_Hall '-C 2 2'
_cell_length_a 4.649
_cell_length_b 28.902
_cell_length_c 2.861
_cell_angle_alpha 90.00
_cell_angle_beta 90.00
_cell_angle_gamma 90.00
loop_
_atom_site_label
_atom_site_fract_x
_atom_site_fract_y
_atom_site_fract_z
Li1 0.000 0.000 0.000
Li2 0.000 0.099 0.500
Li3 0.000 0.276 0.000
Li4 0.000 0.427 0.000
Ag1 0.000 0.179 0.000
Pd1 0.000 0.353 0.500
Pd2 0.000 0.500 0.500
```

***

Li4Ag2Pd: optimized geometry, PBE.

Computed properties:
The energy relative to the lowest polymorph listed for this composition is 0.0 meV per atom. The calculation puts the formation energy at -0.216 eV/atom. The density of states at the Fermi level comes out at 3.18 states/eV per cell. The value obtained for the total energy is -2.866 eV/atom.

Geometry as CIF:
```
data_Li4Ag2Pd
_chemical_formula_sum 'Li8 Ag4 Pd2'
_space_group_name_H-M_alt 'C m m m'
_space_group_IT_number 65
_space_group_name_Hall '-C 2 2'
_cell_length_a 6.453
_cell_length_b 8.588
_cell_length_c 4.344
_cell_angle_alpha 90.00
_cell_angle_beta 90.00
_cell_angle_gamma 90.00
loop_
_atom_site_label
_atom_site_fract_x
_atom_site_fract_y
_atom_site_fract_z
Li1 0.219 0.000 0.000
Li2 0.250 0.250 0.500
Ag1 0.000 0.280 0.000
Pd1 0.000 0.500 0.500
```

***

LiAgPd5: optimized geometry, PBE.

Computed properties:
The energy relative to the lowest polymorph listed for this composition is 0.0 meV per atom. The calculation puts the formation energy at -0.022 eV/atom. The density of states at the Fermi level comes out at 13.24 states/eV per cell. The value obtained for the total energy is -4.412 eV/atom.

Geometry as CIF:
```
data_LiAgPd5
_chemical_formula_sum 'Li2 Ag2 Pd10'
_space_group_name_H-M_alt 'C m m m'
_space_group_IT_number 65
_space_group_name_Hall '-C 2 2'
_cell_length_a 5.391
_cell_length_b 8.032
_cell_length_c 5.455
_cell_angle_alpha 90.00
_cell_angle_beta 90.00
_cell_angle_gamma 90.00
loop_
_atom_site_label
_atom_site_fract_x
_atom_site_fract_y
_atom_site_fract_z
Li1 0.000 0.000 0.000
Ag1 0.000 0.500 0.500
Pd1 0.000 0.500 0.000
Pd2 0.250 0.250 0.249
```

***

Li10Ag6Pd: optimized geometry, PBE.

Computed properties:
The calculation puts the formation energy at -0.178 eV/atom. The density of states at the Fermi level comes out at 2.02 states/eV per cell. The value obtained for the total energy is -2.616 eV/atom.

Geometry as CIF:
```
data_Li10Ag6Pd
_chemical_formula_sum 'Li10 Ag6 Pd1'
_space_group_name_H-M_alt 'P -3 1 m'
_space_group_IT_number 162
_space_group_name_Hall '-P 3 2'
_cell_length_a 7.7528
_cell_length_b 7.7528
_cell_length_c 5.4740
_cell_angle_alpha 90.00
_cell_angle_beta 90.00
_cell_angle_gamma 120.00
loop_
_atom_site_label
_atom_site_fract_x
_atom_site_fract_y
_atom_site_fract_z
Li1 0.0000 0.2864 0.3255
Li2 0.3333 0.6667 0.0000
Li3 0.3333 0.6667 0.5000
Ag1 0.0000 0.3532 0.8359
Pd1 0.0000 0.0000 0.0000
```

***

LiAgPd2: optimized geometry, PBE.

Computed properties:
The energy relative to the lowest polymorph listed for this composition is 254.4 meV per atom. The calculation puts the formation energy at 0.013 eV/atom. The density of states at the Fermi level comes out at 9.16 states/eV per cell. The value obtained for the total energy is -3.774 eV/atom.

Geometry as CIF:
```
data_LiAgPd2
_chemical_formula_sum 'Li4 Ag4 Pd8'
_space_group_name_H-M_alt 'I -4 2 d'
_space_group_IT_number 122
_space_group_name_Hall 'I -4 2bw'
_cell_length_a 3.787
_cell_length_b 3.787
_cell_length_c 18.825
_cell_angle_alpha 90.00
_cell_angle_beta 90.00
_cell_angle_gamma 90.00
loop_
_atom_site_label
_atom_site_fract_x
_atom_site_fract_y
_atom_site_fract_z
Li1 0.000 0.000 0.000
Ag1 0.000 0.000 0.500
Pd1 0.242 0.250 0.125
```

***

LiAg5Pd2: optimized geometry, PBE.

Computed properties:
The energy relative to the lowest polymorph listed for this composition is 128.1 meV per atom. The calculation puts the formation energy at 0.000 eV/atom. The density of states at the Fermi level comes out at 7.18 states/eV per cell. The value obtained for the total energy is -3.320 eV/atom.

Geometry as CIF:
```
data_LiAg5Pd2
_chemical_formula_sum 'Li4 Ag20 Pd8'
_space_group_name_H-M_alt 'I 4/m c m'
_space_group_IT_number 140
_space_group_name_Hall '-I 4 2c'
_cell_length_a 7.092
_cell_length_b 7.092
_cell_length_c 11.180
_cell_angle_alpha 90.00
_cell_angle_beta 90.00
_cell_angle_gamma 90.00
loop_
_atom_site_label
_atom_site_fract_x
_atom_site_fract_y
_atom_site_fract_z
Li1 0.000 0.000 0.250
Ag1 0.000 0.000 0.000
Ag2 0.151 0.349 0.164
Pd1 0.142 0.358 0.500
```

***

Li4Ag5Pd: optimized geometry, PBE.

Computed properties:
The energy relative to the lowest polymorph listed for this composition is 137.4 meV per atom. The calculation puts the formation energy at -0.084 eV/atom. The density of states at the Fermi level comes out at 4.99 states/eV per cell. The value obtained for the total energy is -2.794 eV/atom.

Geometry as CIF:
```
data_Li4Ag5Pd
_chemical_formula_sum 'Li8 Ag10 Pd2'
_space_group_name_H-M_alt 'I 4'
_space_group_IT_number 79
_space_group_name_Hall 'I 4'
_cell_length_a 8.045
_cell_length_b 8.045
_cell_length_c 5.283
_cell_angle_alpha 90.00
_cell_angle_beta 90.00
_cell_angle_gamma 90.00
loop_
_atom_site_label
_atom_site_fract_x
_atom_site_fract_y
_atom_site_fract_z
Li1 0.124 0.761 0.000
Ag1 0.000 0.000 0.264
Ag2 0.049 0.672 0.512
Pd1 0.000 0.000 0.748
```